[1]
# Zr5P meta-GGA SCAN PBEsol geometry
# Energy relative to the lowest polymorph listed for this composition in meV/atom: 0
# Calculated formation energy in eV per atom: -0.378
data_Zr5P
_chemical_formula_sum 'Zr5 P1'
_symmetry_space_group_name_H-M 'P 4/m m m'
_symmetry_Int_Tables_number 123
_symmetry_space_group_name_Hall '-P 4 2'
_cell_length_a 3.455
_cell_length_b 3.455
_cell_length_c 10.001
_cell_angle_alpha 90.00
_cell_angle_beta 90.00
_cell_angle_gamma 90.00
loop_
_atom_site_label
_atom_site_type_symbol
_atom_site_fract_x
_atom_site_fract_y
_atom_site_fract_z
Zr1 Zr 0.000 0.000 0.000
Zr2 Zr 0.000 0.000 0.363
Zr3 Zr 0.500 0.500 0.184
P1 P 0.500 0.500 0.500

---

[2]
# RbBaH2 meta-GGA SCAN PBEsol geometry
# E_tot in eV/atom: -16.986
data_RbBaH2
_chemical_formula_sum 'Rb4 Ba4 H8'
_symmetry_space_group_name_H-M 'I -4 2 d'
_symmetry_Int_Tables_number 122
_symmetry_space_group_name_Hall 'I -4 2bw'
_cell_length_a 6.299
_cell_length_b 6.299
_cell_length_c 12.704
_cell_angle_alpha 90.00
_cell_angle_beta 90.00
_cell_angle_gamma 90.00
loop_
_atom_site_label
_atom_site_type_symbol
_atom_site_fract_x
_atom_site_fract_y
_atom_site_fract_z
Rb1 Rb 0.000 0.000 0.000
Ba1 Ba 0.000 0.000 0.500
H1 H 0.182 0.250 0.625

---

[3]
# CaMn2Te meta-GGA SCAN PBEsol geometry
# Formation energy without anion corrections in eV/atom: -0.06
data_CaMn2Te
_chemical_formula_sum 'Ca2 Mn4 Te2'
_symmetry_space_group_name_H-M 'I -4 m 2'
_symmetry_Int_Tables_number 119
_symmetry_space_group_name_Hall 'I -4 -2'
_cell_length_a 4.166
_cell_length_b 4.166
_cell_length_c 8.919
_cell_angle_alpha 90.00
_cell_angle_beta 90.00
_cell_angle_gamma 90.00
loop_
_atom_site_label
_atom_site_type_symbol
_atom_site_fract_x
_atom_site_fract_y
_atom_site_fract_z
Ca1 Ca 0.000 0.000 0.000
Mn1 Mn 0.000 0.000 0.500
Mn2 Mn 0.000 0.500 0.250
Te1 Te 0.000 0.500 0.750